(1)
DFT (PBE) results for a geometry-optimized TiAsO2 structure.

```
data_TiAsO2
_chemical_formula_sum 'Ti3 As3 O6'
_cell_length_a 2.9404
_cell_length_b 2.9404
_cell_length_c 19.7227
_cell_angle_alpha 90.00
_cell_angle_beta 90.00
_cell_angle_gamma 120.00
_symmetry_space_group_name_H-M 'R -3 m'
_symmetry_Int_Tables_number 166
_symmetry_space_group_name_Hall '-R 3 2"'
loop_
_atom_site_label
_atom_site_type_symbol
_atom_site_fract_x
_atom_site_fract_y
_atom_site_fract_z
_atom_site_occupancy
Ti1 Ti 0.0000 0.0000 0.0000 1
As1 As 0.0000 0.0000 0.5000 1
O1 O 0.0000 0.0000 0.3905 1
```

Raw formation energy (meV/atom): -1870
DOS(E_F) (states/eV per cell): 6.88


(2)
DFT (PBE) results for a geometry-optimized ZnTcHg2Mo structure.

```
data_ZnTcHg2Mo
_chemical_formula_sum 'Zn1 Tc1 Hg2 Mo1'
_cell_length_a 4.762
_cell_length_b 4.762
_cell_length_c 4.820
_cell_angle_alpha 90.00
_cell_angle_beta 90.00
_cell_angle_gamma 90.00
_symmetry_space_group_name_H-M 'P 4/m m m'
_symmetry_Int_Tables_number 123
_symmetry_space_group_name_Hall '-P 4 2'
loop_
_atom_site_label
_atom_site_type_symbol
_atom_site_fract_x
_atom_site_fract_y
_atom_site_fract_z
_atom_site_occupancy
Zn1 Zn 0.000 0.000 0.000 1
Tc1 Tc 0.500 0.500 0.500 1
Hg1 Hg 0.000 0.500 0.000 1
Mo1 Mo 0.000 0.000 0.500 1
```

Energy of formation from the pure elements (eV/f.u.): 7.81
DOS(E_F) (states/eV per cell): 3.63


(3)
DFT (PBE) results for a geometry-optimized UPaMnGa structure.

```
data_UPaMnGa
_chemical_formula_sum 'U4 Pa4 Mn4 Ga4'
_cell_length_a 6.693
_cell_length_b 6.693
_cell_length_c 6.693
_cell_angle_alpha 90.00
_cell_angle_beta 90.00
_cell_angle_gamma 90.00
_symmetry_space_group_name_H-M 'F -4 3 m'
_symmetry_Int_Tables_number 216
_symmetry_space_group_name_Hall 'F -4 2 3'
loop_
_atom_site_label
_atom_site_type_symbol
_atom_site_fract_x
_atom_site_fract_y
_atom_site_fract_z
_atom_site_occupancy
U1 U 0.000 0.000 0.000 1
Pa1 Pa 0.250 0.250 0.750 1
Mn1 Mn 0.000 0.000 0.500 1
Ga1 Ga 0.250 0.250 0.250 1
```

Energy of formation from the pure elements (eV/f.u.): 0.38
DOS(E_F) (states/eV per cell): 22.00


(4)
DFT (PBE) results for a geometry-optimized Nd3YMg structure.

```
data_Nd3YMg
_chemical_formula_sum 'Nd12 Y4 Mg4'
_cell_length_a 22.719
_cell_length_b 3.561
_cell_length_c 8.663
_cell_angle_alpha 90.00
_cell_angle_beta 108.38
_cell_angle_gamma 90.00
_symmetry_space_group_name_H-M 'C 1 2/m 1'
_symmetry_Int_Tables_number 12
loop_
_symmetry_equiv_pos_as_xyz
'x,y,z'
'-x,-y,-z'
'-x,y,-z'
'x,-y,z'
'x+1/2,y+1/2,z'
'-x+1/2,-y+1/2,-z'
'-x+1/2,y+1/2,-z'
'x+1/2,-y+1/2,z'
loop_
_atom_site_label
_atom_site_type_symbol
_atom_site_fract_x
_atom_site_fract_y
_atom_site_fract_z
_atom_site_occupancy
Nd1 Nd 0.016 0.000 0.224 1
Nd2 Nd 0.121 0.500 0.039 1
Nd3 Nd 0.176 0.000 0.438 1
Y1 Y 0.232 0.500 0.817 1
Mg1 Mg 0.076 0.500 0.597 1
```

Energy of formation from the pure elements (eV/f.u.): 0.32
ΔE to the lowest computed polymorph (meV per atom): 0
DOS(E_F) (states/eV per cell): 30.73


(5)
DFT (PBE) results for a geometry-optimized Y6Ho3ErTh2 structure.

```
data_Y6Ho3ErTh2
_chemical_formula_sum 'Y12 Ho6 Er2 Th4'
_cell_length_a 6.168
_cell_length_b 10.675
_cell_length_c 11.783
_cell_angle_alpha 90.00
_cell_angle_beta 100.06
_cell_angle_gamma 90.00
_symmetry_space_group_name_H-M 'C 1 2/m 1'
_symmetry_Int_Tables_number 12
loop_
_symmetry_equiv_pos_as_xyz
'x,y,z'
'-x,-y,-z'
'-x,y,-z'
'x,-y,z'
'x+1/2,y+1/2,z'
'-x+1/2,-y+1/2,-z'
'-x+1/2,y+1/2,-z'
'x+1/2,-y+1/2,z'
loop_
_atom_site_label
_atom_site_type_symbol
_atom_site_fract_x
_atom_site_fract_y
_atom_site_fract_z
_atom_site_occupancy
Y1 Y 0.247 0.000 0.249 1
Y2 Y 0.249 0.168 0.752 1
Ho1 Ho 0.000 0.000 0.500 1
Ho2 Ho 0.000 0.334 0.500 1
Er1 Er 0.000 0.500 0.000 1
Th1 Th 0.000 0.167 0.000 1
```

Energy of formation from the pure elements (eV/f.u.): 0.32
DOS(E_F) (states/eV per cell): 34.83


(6)
DFT (PBE) results for a geometry-optimized Fe4Cl structure.

```
data_Fe4Cl
_chemical_formula_sum 'Fe8 Cl2'
_cell_length_a 5.157
_cell_length_b 5.157
_cell_length_c 5.157
_cell_angle_alpha 90.00
_cell_angle_beta 90.00
_cell_angle_gamma 90.00
_symmetry_space_group_name_H-M 'I m -3 m'
_symmetry_Int_Tables_number 229
_symmetry_space_group_name_Hall '-I 4 2 3'
loop_
_atom_site_label
_atom_site_type_symbol
_atom_site_fract_x
_atom_site_fract_y
_atom_site_fract_z
_atom_site_occupancy
Fe1 Fe 0.250 0.250 0.250 1
Cl1 Cl 0.000 0.000 0.000 1
```

ΔE to the lowest computed polymorph (meV per atom): 601
Raw formation energy (meV/atom): 985
DOS(E_F) (states/eV per cell): 10.28


(7)
DFT (PBE) results for a geometry-optimized LiEu2I structure.

```
data_LiEu2I
_chemical_formula_sum 'Li1 Eu2 I1'
_cell_length_a 3.967
_cell_length_b 3.967
_cell_length_c 8.586
_cell_angle_alpha 90.00
_cell_angle_beta 90.00
_cell_angle_gamma 90.00
_symmetry_space_group_name_H-M 'P 4/m m m'
_symmetry_Int_Tables_number 123
_symmetry_space_group_name_Hall '-P 4 2'
loop_
_atom_site_label
_atom_site_type_symbol
_atom_site_fract_x
_atom_site_fract_y
_atom_site_fract_z
_atom_site_occupancy
Li1 Li 0.000 0.000 0.000 1
Eu1 Eu 0.500 0.500 0.236 1
I1 I 0.000 0.000 0.500 1
```

ΔE to the lowest computed polymorph (meV per atom): 0
Raw formation energy (meV/atom): -474
DOS(E_F) (states/eV per cell): 3.02


(8)
DFT (PBE) results for a geometry-optimized NaLiZn4 structure.

```
data_NaLiZn4
_chemical_formula_sum 'Na4 Li4 Zn16'
_cell_length_a 7.487
_cell_length_b 7.487
_cell_length_c 7.487
_cell_angle_alpha 90.00
_cell_angle_beta 90.00
_cell_angle_gamma 90.00
_symmetry_space_group_name_H-M 'F -4 3 m'
_symmetry_Int_Tables_number 216
_symmetry_space_group_name_Hall 'F -4 2 3'
loop_
_atom_site_label
_atom_site_type_symbol
_atom_site_fract_x
_atom_site_fract_y
_atom_site_fract_z
_atom_site_occupancy
Na1 Na 0.000 0.000 0.000 1
Li1 Li 0.250 0.250 0.750 1
Zn1 Zn 0.124 0.124 0.376 1
```

Energy of formation from the pure elements (eV/f.u.): -0.62
DOS(E_F) (states/eV per cell): 7.63


(9)
DFT (PBE) results for a geometry-optimized PmEr2Te3 structure.

```
data_PmEr2Te3
_chemical_formula_sum 'Pm2 Er4 Te6'
_cell_length_a 4.378
_cell_length_b 6.155
_cell_length_c 13.134
_cell_angle_alpha 90.00
_cell_angle_beta 90.00
_cell_angle_gamma 90.00
_symmetry_space_group_name_H-M 'I m m m'
_symmetry_Int_Tables_number 71
_symmetry_space_group_name_Hall '-I 2 2'
loop_
_atom_site_label
_atom_site_type_symbol
_atom_site_fract_x
_atom_site_fract_y
_atom_site_fract_z
_atom_site_occupancy
Pm1 Pm 0.000 0.000 0.000 1
Er1 Er 0.000 0.000 0.342 1
Te1 Te 0.000 0.500 0.000 1
Te2 Te 0.000 0.500 0.324 1
```

Raw formation energy (meV/atom): -1277
DOS(E_F) (states/eV per cell): 5.97


(10)
DFT (PBE) results for a geometry-optimized LiTi2ZnBr structure.

```
data_LiTi2ZnBr
_chemical_formula_sum 'Li1 Ti2 Zn1 Br1'
_cell_length_a 4.691
_cell_length_b 4.691
_cell_length_c 5.216
_cell_angle_alpha 90.00
_cell_angle_beta 90.00
_cell_angle_gamma 90.00
_symmetry_space_group_name_H-M 'P 4/m m m'
_symmetry_Int_Tables_number 123
_symmetry_space_group_name_Hall '-P 4 2'
loop_
_atom_site_label
_atom_site_type_symbol
_atom_site_fract_x
_atom_site_fract_y
_atom_site_fract_z
_atom_site_occupancy
Li1 Li 0.000 0.000 0.000 1
Ti1 Ti 0.000 0.500 0.500 1
Zn1 Zn 0.500 0.500 0.000 1
Br1 Br 0.500 0.500 0.500 1
```

Raw formation energy (meV/atom): 676
DOS(E_F) (states/eV per cell): 2.19


(11)
DFT (PBE) results for a geometry-optimized LiNdYZn structure.

```
data_LiNdYZn
_chemical_formula_sum 'Li1 Nd1 Y1 Zn1'
_cell_length_a 3.690
_cell_length_b 3.690
_cell_length_c 7.439
_cell_angle_alpha 90.00
_cell_angle_beta 90.00
_cell_angle_gamma 90.00
_symmetry_space_group_name_H-M 'P 4 m m'
_symmetry_Int_Tables_number 99
loop_
_symmetry_equiv_pos_as_xyz
'x,y,z'
'-y,x,z'
'-x,-y,z'
'y,-x,z'
'-x,y,z'
'y,x,z'
'x,-y,z'
'-y,-x,z'
loop_
_atom_site_label
_atom_site_type_symbol
_atom_site_fract_x
_atom_site_fract_y
_atom_site_fract_z
_atom_site_occupancy
Li1 Li 0.000 0.000 0.000 1
Nd1 Nd 0.500 0.500 0.725 1
Y1 Y 0.500 0.500 0.259 1
Zn1 Zn 0.000 0.000 0.480 1
```

Energy of formation from the pure elements (eV/f.u.): -0.51
ΔE to the lowest computed polymorph (meV per atom): 0
DOS(E_F) (states/eV per cell): 4.61


(12)
DFT (PBE) results for a geometry-optimized LaCeScSn structure.

```
data_LaCeScSn
_chemical_formula_sum 'La4 Ce4 Sc4 Sn4'
_cell_length_a 7.558
_cell_length_b 7.558
_cell_length_c 7.558
_cell_angle_alpha 90.00
_cell_angle_beta 90.00
_cell_angle_gamma 90.00
_symmetry_space_group_name_H-M 'F -4 3 m'
_symmetry_Int_Tables_number 216
_symmetry_space_group_name_Hall 'F -4 2 3'
loop_
_atom_site_label
_atom_site_type_symbol
_atom_site_fract_x
_atom_site_fract_y
_atom_site_fract_z
_atom_site_occupancy
La1 La 0.000 0.000 0.000 1
Ce1 Ce 0.250 0.250 0.250 1
Sc1 Sc 0.250 0.250 0.750 1
Sn1 Sn 0.000 0.000 0.500 1
```

Energy of formation from the pure elements (eV/f.u.): -0.83
DOS(E_F) (states/eV per cell): 38.32


- What is the formula in the eighth record?
  NaLiZn4